A relaxed Si2IrAu crystal, computed with GGA-PBE.

Cell lengths 3.8145, 3.8145, 8.2788 Å; angles 90.00, 90.00, 90.00 degrees
Atoms (fractional coordinates):
Si (0.0000, 0.0000, 0.0000)
Si (0.0000, 0.5000, 0.2500)
Si (0.5000, 0.0000, 0.7500)
Si (0.5000, 0.5000, 0.5000)
Ir (0.0000, 0.0000, 0.5000)
Ir (0.5000, 0.5000, 0.0000)
Au (0.0000, 0.5000, 0.7500)
Au (0.5000, 0.0000, 0.2500)

## Properties
* D(E_F): 0.6689 states/eV/atom
* formation energy (no corrections): 0.19 eV/atom
* space-group type: No. 119
* energy above the most stable polymorph in this dataset: 1.61 eV/f.u.